Version i
DFT (SCAN) results for CuBrCl at its PBEsol-relaxed geometry.

Results
The value obtained for the spin magnetization is 1.00 μB/f.u.

CIF file:
```
data_CuBrCl
_chemical_formula_sum 'Cu1 Br1 Cl1'
_cell_length_a 3.540
_cell_length_b 3.540
_cell_length_c 5.905
_cell_angle_alpha 90.00
_cell_angle_beta 90.00
_cell_angle_gamma 120.00
_space_group_name_H-M_alt 'P 1'
_space_group_IT_number 1
_space_group_name_Hall 'P 1'
loop_
_atom_site_label
_atom_site_type_symbol
_atom_site_fract_x
_atom_site_fract_y
_atom_site_fract_z
Cl1 Cl 0.333 0.667 0.560
Br1 Br 0.000 0.000 0.093
Cu1 Cu 0.667 0.333 0.347
```

=====

Version ii
DFT (SCAN) results for CuBrCl at its PBEsol-relaxed geometry.

Results
The value obtained for the spin magnetization is 0.99 μB/f.u.

CIF file:
```
data_CuBrCl
_chemical_formula_sum 'Cu1 Br1 Cl1'
_cell_length_a 3.332
_cell_length_b 3.994
_cell_length_c 6.448
_cell_angle_alpha 83.81
_cell_angle_beta 75.03
_cell_angle_gamma 65.34
_space_group_name_H-M_alt 'P 1'
_space_group_IT_number 1
_space_group_name_Hall 'P 1'
loop_
_atom_site_label
_atom_site_type_symbol
_atom_site_fract_x
_atom_site_fract_y
_atom_site_fract_z
Br1 Br 0.963 0.000 0.074
Cu1 Cu 0.328 0.000 0.344
Cl1 Cl 0.709 0.000 0.583
```

=====

We find version ii to be the most stable, with the next structure 0.041 eV/atom higher.